TiMnPt5 | GGA-PBE | relaxed

- Volume: 16.41 A^3/atom
- Energy of formation: -0.453 eV per atom
- Spin magnetization: 0.533 μB per atom

The structure in CIF format:
```
data_TiMnPt5
_space_group_name_H-M_alt 'P 4/m m m'
_space_group_IT_number 123
_space_group_name_Hall '-P 4 2'
_cell_length_a 3.885
_cell_length_b 3.885
_cell_length_c 7.609
_cell_angle_alpha 90.00
_cell_angle_beta 90.00
_cell_angle_gamma 90.00
loop_
_atom_site_label
_atom_site_fract_x
_atom_site_fract_y
_atom_site_fract_z
Ti1 0.000 0.000 0.000
Mn1 0.500 0.500 0.500
Pt1 0.000 0.000 0.500
Pt2 0.000 0.500 0.232
```